[1]
# BaGa2Te, relaxed, DFT GGA-PBE
# - Calculated density: 5.2 g/cm³
# - Space-group type: No. 122
# - Magnetization: 0.000 μB per formula unit
# - Formation energy without anion corrections: -156 kJ/mol of formula units
data_BaGa2Te
_chemical_formula_sum 'Ba2 Ga4 Te2'
_cell_length_a 7.045
_cell_length_b 7.045
_cell_length_c 7.045
_cell_angle_alpha 103.42
_cell_angle_beta 103.42
_cell_angle_gamma 122.39
_symmetry_space_group_name_H-M 'P 1'
_symmetry_Int_Tables_number 1
loop_
_symmetry_equiv_pos_as_xyz
'x,y,z'
loop_
_atom_site_label
_atom_site_type_symbol
_atom_site_fract_x
_atom_site_fract_y
_atom_site_fract_z
Ba1 Ba 0.000 0.000 0.000
Ba2 Ba 0.750 0.250 0.500
Ga1 Ga 0.165 0.625 0.040
Ga2 Ga 0.375 0.415 0.540
Ga3 Ga 0.585 0.125 0.960
Ga4 Ga 0.875 0.835 0.460
Te1 Te 0.250 0.750 0.500
Te2 Te 0.500 0.500 0.000

---

[2]
# BaGa2Te4, relaxed, DFT GGA-PBE
# - Calculated density: 5.1 g/cm³
# - Space-group type: No. 66
# - Magnetization: 0.000 μB per formula unit
# - Formation energy without anion corrections: -535 kJ/mol of formula units
data_BaGa2Te4
_chemical_formula_sum 'Ba2 Ga4 Te8'
_cell_length_a 7.004
_cell_length_b 7.004
_cell_length_c 12.308
_cell_angle_alpha 90.00
_cell_angle_beta 90.00
_cell_angle_gamma 121.72
_symmetry_space_group_name_H-M 'P 1'
_symmetry_Int_Tables_number 1
loop_
_symmetry_equiv_pos_as_xyz
'x,y,z'
loop_
_atom_site_label
_atom_site_type_symbol
_atom_site_fract_x
_atom_site_fract_y
_atom_site_fract_z
Ba1 Ba 0.000 0.000 0.250
Ba2 Ba 0.000 0.000 0.750
Ga1 Ga 0.256 0.742 0.000
Ga2 Ga 0.258 0.744 0.500
Ga3 Ga 0.742 0.256 0.500
Ga4 Ga 0.744 0.258 0.000
Te1 Te 0.000 0.500 0.168
Te2 Te 0.000 0.500 0.832
Te3 Te 0.156 0.320 0.500
Te4 Te 0.320 0.156 0.000
Te5 Te 0.500 0.000 0.332
Te6 Te 0.500 0.000 0.668
Te7 Te 0.680 0.844 0.000
Te8 Te 0.844 0.680 0.500

---

[3]
# Ba2GaTe3, relaxed, DFT GGA-PBE
# - Calculated density: 5.3 g/cm³
# - Space-group type: No. 62
# - Magnetization: 0.000 μB per formula unit
# - Formation energy without anion corrections: -727 kJ/mol of formula units
data_Ba2GaTe3
_chemical_formula_sum 'Ba8 Ga4 Te12'
_cell_length_a 9.408
_cell_length_b 5.170
_cell_length_c 18.839
_cell_angle_alpha 90.00
_cell_angle_beta 90.00
_cell_angle_gamma 90.00
_symmetry_space_group_name_H-M 'P 1'
_symmetry_Int_Tables_number 1
loop_
_symmetry_equiv_pos_as_xyz
'x,y,z'
loop_
_atom_site_label
_atom_site_type_symbol
_atom_site_fract_x
_atom_site_fract_y
_atom_site_fract_z
Ba1 Ba 0.101 0.250 0.207
Ba2 Ba 0.245 0.750 0.457
Ba3 Ba 0.255 0.250 0.957
Ba4 Ba 0.399 0.750 0.707
Ba5 Ba 0.601 0.250 0.293
Ba6 Ba 0.745 0.750 0.043
Ba7 Ba 0.755 0.250 0.543
Ba8 Ba 0.899 0.750 0.793
Ga1 Ga 0.106 0.250 0.630
Ga2 Ga 0.394 0.750 0.130
Ga3 Ga 0.606 0.250 0.870
Ga4 Ga 0.894 0.750 0.370
Te1 Te 0.004 0.750 0.606
Te2 Te 0.130 0.750 0.066
Te3 Te 0.170 0.250 0.773
Te4 Te 0.330 0.750 0.273
Te5 Te 0.370 0.250 0.566
Te6 Te 0.496 0.250 0.106
Te7 Te 0.504 0.750 0.894
Te8 Te 0.630 0.750 0.434
Te9 Te 0.670 0.250 0.727
Te10 Te 0.830 0.750 0.227
Te11 Te 0.870 0.250 0.934
Te12 Te 0.996 0.250 0.394

---

[4]
# BaGaTe2, relaxed, DFT GGA-PBE
# - Calculated density: 4.1 g/cm³
# - Space-group type: No. 122
# - Magnetization: 0.000 μB per formula unit
# - Formation energy without anion corrections: -305 kJ/mol of formula units
data_BaGaTe2
_chemical_formula_sum 'Ba2 Ga2 Te4'
_cell_length_a 8.819
_cell_length_b 8.819
_cell_length_c 8.819
_cell_angle_alpha 132.07
_cell_angle_beta 132.07
_cell_angle_gamma 70.12
_symmetry_space_group_name_H-M 'P 1'
_symmetry_Int_Tables_number 1
loop_
_symmetry_equiv_pos_as_xyz
'x,y,z'
loop_
_atom_site_label
_atom_site_type_symbol
_atom_site_fract_x
_atom_site_fract_y
_atom_site_fract_z
Ba1 Ba 0.000 0.000 0.000
Ba2 Ba 0.750 0.250 0.500
Ga1 Ga 0.250 0.750 0.500
Ga2 Ga 0.500 0.500 0.000
Te1 Te 0.197 0.625 0.072
Te2 Te 0.375 0.447 0.572
Te3 Te 0.553 0.125 0.928
Te4 Te 0.875 0.803 0.428